No. 1
Compound: Ba2Hg2S
Source: Alexandria via LeMat-Bulk
Functional: PBE
Structure: optimized geometry

Calculated values
The formation energy without anion corrections is -0.800 eV per atom. As for the density of states at the Fermi level: 1.748 states/eV/f.u. The calculation puts the magnetization at 0.00 μB per formula unit.

Cell lengths 8.5257, 8.5257, 5.4765 Å; angles 90.00, 90.00, 90.00 degrees
Atoms (fractional coordinates):
Hg1 0.8783 0.3783 0.5000
Ba1 0.6915 0.1915 0.0000
Hg2 0.1217 0.6217 0.5000
Hg3 0.6217 0.8783 0.5000
Ba2 0.3085 0.8085 0.0000
Hg4 0.3783 0.1217 0.5000
Ba3 0.8085 0.6915 0.0000
S1 0.0000 0.0000 0.0000
S2 0.5000 0.5000 0.0000
Ba4 0.1915 0.3085 0.0000



No. 2
Compound: Ba5HgS6
Source: Alexandria via LeMat-Bulk
Functional: PBE
Structure: optimized geometry

Calculated values
The formation energy without anion corrections is -1.672 eV per atom. As for the density of states at the Fermi level: 0.000 states/eV/f.u. The calculation puts the magnetization at 0.00 μB per formula unit.

Cell lengths 7.7126, 7.7231, 7.8582 Å; angles 60.57, 81.91, 73.36 degrees
Atoms (fractional coordinates):
S1 0.1980 0.2121 0.0000
S2 0.2664 0.9024 0.6605
S3 0.7336 0.4371 0.6605
Ba1 0.5000 0.5000 0.0000
S4 0.8020 0.7879 0.0000
Ba2 0.5000 0.1642 0.6716
S5 0.2664 0.5629 0.3395
Ba3 0.0000 0.3242 0.3516
S6 0.7336 0.0976 0.3395
Hg1 0.0000 0.0000 0.0000
Ba4 0.5000 0.8358 0.3284
Ba5 0.0000 0.6758 0.6484



No. 3
Compound: Ba6Hg2S
Source: Alexandria via LeMat-Bulk
Functional: PBE
Structure: optimized geometry

Calculated values
The formation energy without anion corrections is -0.661 eV per atom. As for the density of states at the Fermi level: 10.866 states/eV/f.u. The calculation puts the magnetization at 0.65 μB per formula unit.

Cell lengths 7.9454, 8.8606, 11.9680 Å; angles 90.00, 89.02, 90.00 degrees
Atoms (fractional coordinates):
Ba1 0.8331 0.6882 0.4358
Ba2 0.3227 0.8167 0.5662
Ba3 0.3645 0.5377 0.2453
Ba4 0.8227 0.6833 0.0662
Ba5 0.1773 0.3167 0.9338
Hg1 0.9500 0.3944 0.2472
S1 0.5000 0.5000 0.0000
S2 0.0000 0.0000 0.5000
Ba6 0.3331 0.8118 0.9358
Ba7 0.1669 0.3118 0.5642
Ba8 0.6669 0.1882 0.0642
Hg2 0.4500 0.1056 0.7472
Hg3 0.0500 0.6056 0.7528
Ba9 0.1355 0.0377 0.2547
Hg4 0.5500 0.8944 0.2528
Ba10 0.6773 0.1833 0.4338
Ba11 0.6355 0.4623 0.7547
Ba12 0.8645 0.9623 0.7453



No. 4
Compound: Ba2HgS2
Source: Alexandria via LeMat-Bulk
Functional: PBE
Structure: optimized geometry

Calculated values
The formation energy without anion corrections is -1.467 eV per atom. As for the density of states at the Fermi level: 0.042 states/eV/f.u. The calculation puts the energy above the lowest structure with this stoichiometry at 0.000 eV/atom. The calculation puts the magnetization at 0.00 μB per formula unit.

Cell lengths 8.7945, 8.7945, 4.0196 Å; angles 90.00, 90.00, 90.00 degrees
Atoms (fractional coordinates):
Ba1 0.3476 0.1524 0.5000
S1 0.1477 0.3523 0.0000
Hg1 0.5000 0.5000 0.0000
Ba2 0.8476 0.3476 0.5000
Ba3 0.6524 0.8476 0.5000
S2 0.6477 0.1477 0.0000
Hg2 0.0000 0.0000 0.0000
Ba4 0.1524 0.6524 0.5000
S3 0.3523 0.8523 0.0000
S4 0.8523 0.6477 0.0000



No. 5
Compound: BaHgS2
Source: Alexandria via LeMat-Bulk
Functional: PBE
Structure: optimized geometry

Calculated values
The formation energy without anion corrections is -1.097 eV per atom. The calculation puts the magnetization at 0.00 μB per formula unit.

Cell lengths 7.1765, 8.0945, 8.2284 Å; angles 90.00, 90.00, 90.28 degrees
Atoms (fractional coordinates):
Hg1 0.5689 0.9960 0.2494
Ba1 0.8559 0.2488 0.9588
S1 0.4103 0.2455 0.1256
S2 0.5897 0.7545 0.8744
S3 0.9184 0.4995 0.2492
Ba2 0.8559 0.7488 0.5412
Hg2 0.4311 0.5040 0.7494
S4 0.0816 0.5005 0.7508
Ba3 0.1441 0.2512 0.4588
Hg3 0.4311 0.0040 0.7506
Ba4 0.1441 0.7512 0.0412
Hg4 0.5689 0.4960 0.2506
S5 0.9184 0.9995 0.2508
S6 0.5897 0.2545 0.6256
S7 0.0816 0.0005 0.7492
S8 0.4103 0.7455 0.3744



No. 6
Compound: Ba2HgS5
Source: Alexandria via LeMat-Bulk
Functional: PBE
Structure: optimized geometry

Calculated values
The formation energy without anion corrections is -1.135 eV per atom. The calculation puts the magnetization at 0.00 μB per formula unit.

Cell lengths 8.5177, 8.8269, 12.3073 Å; angles 90.00, 90.00, 90.00 degrees
Atoms (fractional coordinates):
S1 0.5583 0.7500 0.3223
S2 0.8092 0.9459 0.5675
Ba1 0.1442 0.4941 0.6897
S3 0.0669 0.2500 0.4729
S4 0.6908 0.9459 0.0675
S5 0.8092 0.5541 0.5675
S6 0.1908 0.0541 0.4325
S7 0.9417 0.7500 0.8223
Ba2 0.3558 0.0059 0.1897
Ba3 0.6442 0.5059 0.8103
S8 0.6908 0.5541 0.0675
Ba4 0.1442 0.0059 0.6897
S9 0.0896 0.7500 0.1943
Ba5 0.3558 0.4941 0.1897
S10 0.4104 0.7500 0.6943
S11 0.3092 0.4459 0.9325
S12 0.5669 0.7500 0.0271
Hg1 0.5101 0.2500 0.4912
S13 0.9331 0.7500 0.5271
S14 0.0583 0.2500 0.1777
Hg2 0.9899 0.2500 0.9912
Ba6 0.6442 0.9941 0.8103
S15 0.3092 0.0541 0.9325
Hg3 0.0101 0.7500 0.0088
S16 0.9104 0.2500 0.8057
Hg4 0.4899 0.7500 0.5088
S17 0.1908 0.4459 0.4325
Ba7 0.8558 0.9941 0.3103
S18 0.5896 0.2500 0.3057
S19 0.4417 0.2500 0.6777
Ba8 0.8558 0.5059 0.3103
S20 0.4331 0.2500 0.9729



No. 7
Compound: BaHgS2
Source: Alexandria via LeMat-Bulk
Functional: PBE
Structure: optimized geometry

Calculated values
The formation energy without anion corrections is -0.136 eV per atom. As for the density of states at the Fermi level: 3.033 states/eV/f.u. The calculation puts the magnetization at 0.16 μB per formula unit.

Cell lengths 8.8886, 8.8886, 8.8886 Å; angles 27.31, 27.31, 27.31 degrees
Atoms (fractional coordinates):
Hg1 0.5000 0.5000 0.5000
S1 0.1139 0.1139 0.1139
S2 0.8861 0.8861 0.8861
Ba1 0.0000 0.0000 0.0000



No. 8
Compound: BaHg2S
Source: Alexandria via LeMat-Bulk
Functional: PBE
Structure: optimized geometry

Calculated values
The formation energy without anion corrections is 0.060 eV per atom. As for the density of states at the Fermi level: 3.198 states/eV/f.u. The calculation puts the magnetization at 0.37 μB per formula unit.

Cell lengths 4.3481, 4.3481, 9.7354 Å; angles 77.10, 77.10, 60.00 degrees
Atoms (fractional coordinates):
Hg1 0.8820 0.8820 0.3541
S1 0.5000 0.5000 0.5000
Hg2 0.1180 0.1180 0.6459
Ba1 0.0000 0.0000 0.0000